No. 1
SrInW | GGA-PBEsol | optimized geometry

Lattice parameters (Å, degrees): 5.0310 5.0310 5.0310 60.00 60.00 60.00
Closest atoms and distances in Å follow each position.
Positions (direct):
In 0.5000 0.5000 0.5000  4 Sr 3.08
Sr 0.2500 0.2500 0.2500  4 In 3.08, 4 W 3.08
W 0.0000 0.0000 0.0000  4 Sr 3.08

Summary:
total magnetization	3.09	μB per formula unit
E_form	1.899	eV per atom
raw total energy	-12.9	eV per formula unit

---

No. 2
SrInW2 | GGA-PBEsol | optimized geometry

Lattice parameters (Å, degrees): 4.8199 4.8199 4.8199 60.00 60.00 60.00
Closest atoms and distances in Å follow each position.
Positions (direct):
In 0.5000 0.5000 0.5000  4 Sr 2.95, 4 W 2.95
Sr 0.2500 0.2500 0.2500  4 In 2.95, 4 W 2.95
W 0.0000 0.0000 0.0000  4 W 2.95, 4 Sr 2.95
W 0.7500 0.7500 0.7500  4 In 2.95, 4 W 2.95

Summary:
total magnetization	0.00	μB per formula unit
E_form	0.965	eV per atom
raw total energy	-28.6	eV per formula unit

---

No. 3
SrYIn2 | GGA-PBEsol | optimized geometry

Lattice parameters (Å, degrees): 3.5245 5.6779 5.6779 102.14 90.00 90.00
Closest atoms and distances in Å follow each position.
Positions (direct):
Y 0.5000 0.5000 0.5000  8 In 3.34, 2 Y 3.52, 2 Sr 3.57
Sr 0.5000 0.0000 0.0000  8 In 3.34, 2 Sr 3.52, 2 Y 3.57
In 0.0000 0.5000 0.0000  4 Y 3.34, 4 Sr 3.34, 4 In 3.52-3.57
In 0.0000 0.0000 0.5000  4 Sr 3.34, 4 Y 3.34, 4 In 3.52-3.57

Summary:
total magnetization	0.00	μB per formula unit
E_form	-0.439	eV per atom
raw total energy	-16.4	eV per formula unit

---

No. 4
Sr4YIn | GGA-PBEsol | optimized geometry

Lattice parameters (Å, degrees): 7.0034 7.0034 7.0034 60.00 60.00 60.00
Closest atoms and distances in Å follow each position.
Positions (direct):
In 0.0000 0.0000 0.0000  12 Sr 4.11, 4 Y 4.29
Sr 0.3750 0.3750 0.3750  6 Sr 3.50
Sr 0.3750 0.3750 0.8749  6 Sr 3.50
Sr 0.8749 0.3750 0.3750  6 Sr 3.50
Sr 0.3750 0.8749 0.3750  6 Sr 3.50
Y 0.7500 0.7500 0.7500  12 Sr 4.11, 4 In 4.29

Summary:
total magnetization	1.47	μB per formula unit
E_form	0.400	eV per atom
raw total energy	-14.8	eV per formula unit

---

No. 5
SrYIn | GGA-PBEsol | optimized geometry

Lattice parameters (Å, degrees): 5.2394 5.2394 5.2394 60.00 60.00 60.00
Closest atoms and distances in Å follow each position.
Positions (direct):
In 0.5000 0.5000 0.5000  4 Sr 3.21
Sr 0.2500 0.2500 0.2500  4 In 3.21, 4 Y 3.21
Y 0.0000 0.0000 0.0000  4 Sr 3.21

Summary:
total magnetization	0.00	μB per formula unit
E_form	0.449	eV per atom
raw total energy	-10.3	eV per formula unit

---

No. 6
SrYIn2 | GGA-PBEsol | optimized geometry

Lattice parameters (Å, degrees): 3.7447 5.4821 5.4819 90.00 90.00 90.00
Closest atoms and distances in Å follow each position.
Positions (direct):
Y 0.5000 0.0000 0.5000  8 In 3.32
Sr 0.5000 0.5000 0.0000  8 In 3.32
In 0.0000 0.0000 0.0000  4 Y 3.32, 4 Sr 3.32
In 0.0000 0.5000 0.5000  4 Sr 3.32, 4 Y 3.32

Summary:
total magnetization	0.00	μB per formula unit
E_form	-0.450	eV per atom
raw total energy	-16.4	eV per formula unit

---

No. 7
Sr2ZnIn | GGA-PBEsol | optimized geometry

Lattice parameters (Å, degrees): 4.8560 4.8560 6.0589 113.62 113.62 90.00
Closest atoms and distances in Å follow each position.
Positions (direct):
In 0.2500 0.7500 0.5000  8 Sr 3.43-3.48, 4 Zn 3.48
Sr 0.0000 0.0000 0.0000  4 Zn 3.43, 4 In 3.48, 4 Sr 3.48
Sr 0.7500 0.2500 0.5000  4 In 3.43, 4 Zn 3.48, 4 Sr 3.48
Zn 0.5000 0.5000 0.0000  8 Sr 3.43-3.48, 4 In 3.48

Summary:
total magnetization	0.00	μB per formula unit
E_form	-0.114	eV per atom
raw total energy	-8.7	eV per formula unit

---

No. 8
Sr2ZnIn | GGA-PBEsol | optimized geometry

Lattice parameters (Å, degrees): 5.5539 5.5539 5.5539 60.00 60.00 60.00
Closest atoms and distances in Å follow each position.
Positions (direct):
Sr 0.7500 0.7500 0.7500  4 In 3.40, 4 Zn 3.40
Sr 0.2500 0.2500 0.2500  4 In 3.40, 4 Zn 3.40
Zn 0.0000 0.0000 0.0000  8 Sr 3.40
In 0.5000 0.5000 0.5000  8 Sr 3.40

Summary:
total magnetization	0.00	μB per formula unit
E_form	-0.297	eV per atom
raw total energy	-9.4	eV per formula unit

---

No. 9
Sr2ZnIn | GGA-PBEsol | optimized geometry

Lattice parameters (Å, degrees): 3.8463 5.6078 5.6097 90.00 90.00 90.00
Closest atoms and distances in Å follow each position.
Positions (direct):
Sr 0.0000 0.0000 0.1239  4 Zn 3.39-3.42, 4 In 3.40
Sr 0.0000 0.5000 0.6271  4 In 3.39-3.41, 4 Zn 3.40
Zn 0.5000 0.0000 0.6206  8 Sr 3.39-3.42
In 0.5000 0.5000 0.1285  8 Sr 3.39-3.41

Summary:
total magnetization	0.00	μB per formula unit
E_form	-0.299	eV per atom
raw total energy	-9.4	eV per formula unit

---

No. 10
Sr2ZnIn | GGA-PBEsol | optimized geometry

Lattice parameters (Å, degrees): 3.7890 5.5092 6.6023 114.64 106.68 90.00
Closest atoms and distances in Å follow each position.
Positions (direct):
Sr 0.9823 0.9823 0.9647  4 Zn 3.38, 2 Sr 3.55, 4 In 3.68-3.75
Sr 0.7858 0.2858 0.5716  2 Zn 3.33, 4 In 3.47, 2 Sr 3.55
Zn 0.5262 0.5263 0.0523  2 In 2.79
In 0.2057 0.7057 0.4114  2 Zn 2.79

Summary:
total magnetization	0.00	μB per formula unit
E_form	-0.258	eV per atom
raw total energy	-9.3	eV per formula unit

---

No. 11
Sr4ZnIn | GGA-PBEsol | optimized geometry

Lattice parameters (Å, degrees): 6.9594 6.9594 6.9594 60.00 60.00 60.00
Closest atoms and distances in Å follow each position.
Positions (direct):
In 0.0000 0.0000 0.0000  12 Sr 4.08, 4 Zn 4.26
Sr 0.3746 0.3746 0.3746  6 Sr 3.47-3.49
Sr 0.3746 0.3746 0.8762  6 Sr 3.47-3.49
Sr 0.8762 0.3746 0.3746  6 Sr 3.47-3.49
Sr 0.3746 0.8762 0.3746  6 Sr 3.47-3.49
Zn 0.7500 0.7500 0.7500  12 Sr 4.08, 4 In 4.26

Summary:
total magnetization	0.00	μB per formula unit
E_form	0.459	eV per atom
raw total energy	-9.2	eV per formula unit

---

No. 12
SrZnIn3 | GGA-PBEsol | optimized geometry

Lattice parameters (Å, degrees): 4.5817 4.5817 6.7948 109.70 109.70 90.00
Closest atoms and distances in Å follow each position.
Positions (direct):
Sr 0.9951 0.9951 0.9901  12 In 3.48-3.89, 4 Zn 3.49
Zn 0.3859 0.3859 0.7718  5 In 2.59-2.75
In 0.2583 0.7583 0.5166  2 Zn 2.75, 2 In 2.95
In 0.7583 0.2583 0.5166  2 Zn 2.75, 2 In 2.95
In 0.6024 0.6024 0.2049  1 Zn 2.59

Summary:
total magnetization	0.00	μB per formula unit
E_form	-0.340	eV per atom
raw total energy	-14.1	eV per formula unit